No. 1
Cu2BrNF | PBE | optimized geometry

- E: -14.48 eV per cell
- DOS at the Fermi energy: 0.427 states/eV/atom
- Symmetry: P4/mmm, No. 123
- Raw formation energy: 1.116 eV/atom
- Total magnetization: 0.0 Bohr magnetons per cell

```
Cu2BrNF
1.0
4.651 0.000 0.000
0.000 3.804 0.000
0.000 0.000 4.651
N Cu Br F
1 2 1 1
Direct
0.000 0.500 0.000
0.000 0.000 0.500
0.500 0.000 0.000
0.000 0.000 0.000
0.500 0.500 0.500
```

---

No. 2
NaCuBrF2 | PBE | optimized geometry

- E: -18.36 eV per cell
- DOS at the Fermi energy: 0.246 states/eV/atom
- Symmetry: P4/mmm, No. 123
- Raw formation energy: -1.506 eV/atom
- Total magnetization: 0.0 Bohr magnetons per cell

```
NaCuBrF2
1.0
4.033 0.000 0.000
0.000 4.033 0.000
0.000 0.000 5.139
Na Cu Br F
1 1 1 2
Direct
0.500 0.500 0.500
0.000 0.000 0.000
0.000 0.000 0.500
0.000 0.500 0.000
0.500 0.000 0.000
```

---

No. 3
Na2CuBr2F2 | PBE | optimized geometry

- E: -24.84 eV per cell
- DOS at the Fermi energy: 0.197 states/eV/atom
- Symmetry: I4/mmm, No. 139
- Raw formation energy: -1.574 eV/atom
- Total magnetization: 1.0 Bohr magnetons per cell

```
Na2CuBr2F2
1.0
-0.567 0.093 4.110
-2.064 -3.594 -0.203
8.052 -2.175 -0.935
Na Cu Br F
2 1 2 2
Direct
0.392 0.392 0.784
0.608 0.608 0.216
0.000 0.000 0.000
0.160 0.160 0.319
0.840 0.840 0.681
0.000 0.500 0.000
0.500 0.000 0.000
```

---

No. 4
NbCu3Br2F6 | PBE | optimized geometry

- E: -57.75 eV per cell
- Symmetry: C2/m, No. 12
- Raw formation energy: -1.735 eV/atom
- Total magnetization: 0.0 Bohr magnetons per cell

```
NbCu3Br2F6
1.0
5.042 0.000 -0.305
0.000 6.740 0.000
-1.180 -3.370 6.696
Nb Cu Br F
1 3 2 6
Direct
0.500 0.000 0.000
0.000 0.500 0.000
0.500 0.500 0.500
0.500 0.000 0.500
0.207 0.676 0.351
0.793 0.324 0.649
0.739 0.277 0.141
0.261 0.723 0.859
0.694 0.892 0.783
0.306 0.108 0.217
0.261 0.136 0.859
0.739 0.864 0.141
```